Record 1
Hg6IClO2: relaxed, PBE.

Summary:
formation energy from raw total energies: -6.186 kcal/mol of atoms
final energy: -71.2 eV for the cell shown

Cell and atoms, written as CIF:
```
data_Hg6IClO2
_space_group_name_H-M_alt 'C 1 2/c 1'
_space_group_IT_number 15
_cell_length_a 13.1430
_cell_length_b 12.0111
_cell_length_c 8.8673
_cell_angle_alpha 90.00
_cell_angle_beta 98.65
_cell_angle_gamma 90.00
loop_
_space_group_symop_operation_xyz
'x,y,z'
'-x,-y,-z'
'-x,y,-z+1/2'
'x,-y,z+1/2'
'x+1/2,y+1/2,z'
'-x+1/2,-y+1/2,-z'
'-x+1/2,y+1/2,-z+1/2'
'x+1/2,-y+1/2,z+1/2'
loop_
_atom_site_label
_atom_site_type_symbol
_atom_site_fract_x
_atom_site_fract_y
_atom_site_fract_z
Hg1 Hg 0.0717 0.0722 0.0459
Hg2 Hg 0.1811 0.4663 0.7563
Hg3 Hg 0.1956 0.3300 0.1523
I1 I 0.0000 0.3122 0.7500
Cl1 Cl 0.0000 0.2296 0.2500
O1 O 0.2184 0.1569 0.0949
```

=====

Record 2
TiVMo2W: relaxed, PBE.

Summary:
final energy: -190.7 eV for the cell shown
ΔE_f: 789 meV/atom

Cell and atoms, written as CIF:
```
data_TiVMo2W
_space_group_name_H-M_alt 'C m c m'
_space_group_IT_number 63
_space_group_name_Hall '-C 2c 2'
_cell_length_a 4.9466
_cell_length_b 14.1864
_cell_length_c 4.9442
_cell_angle_alpha 90.00
_cell_angle_beta 90.00
_cell_angle_gamma 90.00
loop_
_atom_site_label
_atom_site_type_symbol
_atom_site_fract_x
_atom_site_fract_y
_atom_site_fract_z
Ti1 Ti 0.0000 0.1568 0.2500
V1 V 0.0000 0.2495 0.7500
Mo1 Mo 0.2497 0.0000 0.0000
W1 W 0.0000 0.3408 0.2500
```

=====

Record 3
Tc2MoPdI: relaxed, PBE.

Summary:
formation energy from raw total energies: 48.946 kcal/mol of atoms
final energy: -27.7 eV for the cell shown

Cell and atoms, written as CIF:
```
data_Tc2MoPdI
_space_group_name_H-M_alt 'P 4/m m m'
_space_group_IT_number 123
_space_group_name_Hall '-P 4 2'
_cell_length_a 4.7548
_cell_length_b 4.7548
_cell_length_c 4.8382
_cell_angle_alpha 90.00
_cell_angle_beta 90.00
_cell_angle_gamma 90.00
loop_
_atom_site_label
_atom_site_type_symbol
_atom_site_fract_x
_atom_site_fract_y
_atom_site_fract_z
Tc1 Tc 0.0000 0.5000 0.0000
Mo1 Mo 0.0000 0.0000 0.5000
Pd1 Pd 0.5000 0.5000 0.5000
I1 I 0.0000 0.0000 0.0000
```

=====

Record 4
NaPaPd2O8: relaxed, PBE.

Summary:
formation energy from raw total energies: -23.691 kcal/mol of atoms
final energy: -146.4 eV for the cell shown

Cell and atoms, written as CIF:
```
data_NaPaPd2O8
_space_group_name_H-M_alt 'I -4 m 2'
_space_group_IT_number 119
_space_group_name_Hall 'I -4 -2'
_cell_length_a 7.2830
_cell_length_b 7.2830
_cell_length_c 6.6911
_cell_angle_alpha 90.00
_cell_angle_beta 90.00
_cell_angle_gamma 90.00
loop_
_atom_site_label
_atom_site_type_symbol
_atom_site_fract_x
_atom_site_fract_y
_atom_site_fract_z
Na1 Na 0.0000 0.0000 0.0000
Pa1 Pa 0.0000 0.5000 0.7500
Pd1 Pd 0.0000 0.0000 0.5000
Pd2 Pd 0.0000 0.5000 0.2500
O1 O 0.0000 0.1914 0.6932
O2 O 0.0000 0.3304 0.0304
```

=====

Record 5
KGeBr3: relaxed, PBE.

Summary:
formation energy from raw total energies: -23.572 kcal/mol of atoms
final energy: -31.7 eV for the cell shown

Cell and atoms, written as CIF:
```
data_KGeBr3
_space_group_name_H-M_alt 'P -1'
_space_group_IT_number 2
_cell_length_a 4.9977
_cell_length_b 8.6640
_cell_length_c 9.0766
_cell_angle_alpha 79.38
_cell_angle_beta 80.66
_cell_angle_gamma 82.36
loop_
_space_group_symop_operation_xyz
'x,y,z'
'-x,-y,-z'
loop_
_atom_site_label
_atom_site_type_symbol
_atom_site_fract_x
_atom_site_fract_y
_atom_site_fract_z
K1 K 0.1972 0.2085 0.1294
Ge1 Ge 0.1778 0.3330 0.6651
Br1 Br 0.1129 0.7201 0.5201
Br2 Br 0.2224 0.6009 0.1302
Br3 Br 0.2699 0.0446 0.8002
```

=====

Record 6
PrEuErMg: relaxed, PBE.

Summary:
final energy: -83.7 eV for the cell shown
ΔE_f: 70 meV/atom

Cell and atoms, written as CIF:
```
data_PrEuErMg
_space_group_name_H-M_alt 'F -4 3 m'
_space_group_IT_number 216
_space_group_name_Hall 'F -4 2 3'
_cell_length_a 7.9936
_cell_length_b 7.9936
_cell_length_c 7.9936
_cell_angle_alpha 90.00
_cell_angle_beta 90.00
_cell_angle_gamma 90.00
loop_
_atom_site_label
_atom_site_type_symbol
_atom_site_fract_x
_atom_site_fract_y
_atom_site_fract_z
Pr1 Pr 0.0000 0.0000 0.0000
Eu1 Eu 0.2500 0.2500 0.2500
Er1 Er 0.0000 0.0000 0.5000
Mg1 Mg 0.2500 0.2500 0.7500
```